This record from the Alexandria database describes Ca2Si at its PBEsol-relaxed geometry. The functional is meta-GGA SCAN.

Calculated values
For the formation energy (no corrections), the calculation gives -0.508 eV per atom.

a = 4.786 Å, b = 7.457 Å, c = 8.944 Å
α = 90.00°, β = 90.00°, γ = 90.00°
Element x y z (fractional)
Ca: 0.750 0.343 0.074
Ca: 0.250 0.657 0.926
Ca: 0.750 0.843 0.426
Ca: 0.750 0.480 0.681
Ca: 0.250 0.520 0.319
Ca: 0.750 0.980 0.819
Ca: 0.250 0.020 0.181
Ca: 0.250 0.157 0.574
Si: 0.750 0.248 0.395
Si: 0.250 0.752 0.605
Si: 0.750 0.748 0.105
Si: 0.250 0.252 0.895

---

This record from the Alexandria database describes Ca5Si3 at its PBEsol-relaxed geometry. The functional is meta-GGA SCAN.

Calculated values
The calculation puts the density of states at the Fermi level at 11.14 states/eV/cell. For the formation energy (no corrections), the calculation gives -0.523 eV per atom.

a = 7.559 Å, b = 7.559 Å, c = 9.042 Å
α = 114.71°, β = 114.71°, γ = 90.00°
Element x y z (fractional)
Ca: 0.538 0.680 0.718
Ca: 0.962 0.462 0.282
Ca: 0.820 0.962 0.282
Ca: 0.320 0.820 0.282
Ca: 0.038 0.538 0.718
Ca: 0.500 0.500 0.000
Ca: 0.000 0.000 0.000
Ca: 0.680 0.180 0.718
Ca: 0.180 0.038 0.718
Ca: 0.462 0.320 0.282
Si: 0.887 0.613 0.000
Si: 0.387 0.887 0.000
Si: 0.250 0.250 0.500
Si: 0.113 0.387 0.000
Si: 0.613 0.113 0.000
Si: 0.750 0.750 0.500

---

This record from the Alexandria database describes Ca2Si at its PBEsol-relaxed geometry. The functional is meta-GGA SCAN.

Calculated values
The calculation puts the density of states at the Fermi level at 3.60 states/eV/cell. For the formation energy (no corrections), the calculation gives -0.208 eV per atom.

a = 3.447 Å, b = 3.447 Å, c = 14.614 Å
α = 96.77°, β = 96.77°, γ = 90.00°
Element x y z (fractional)
Si: 0.500 0.500 0.000
Si: 0.750 0.250 0.500
Ca: 0.937 0.937 0.875
Ca: 0.187 0.687 0.375
Ca: 0.063 0.063 0.125
Ca: 0.313 0.813 0.625

---

This record from the Alexandria database describes Ca2Si at its PBEsol-relaxed geometry. The functional is meta-GGA SCAN.

Calculated values
For the formation energy (no corrections), the calculation gives -0.509 eV per atom.

a = 5.014 Å, b = 5.014 Å, c = 5.014 Å
α = 60.00°, β = 60.00°, γ = 60.00°
Element x y z (fractional)
Si: 0.000 0.000 0.000
Ca: 0.250 0.250 0.250
Ca: 0.750 0.750 0.750